Entry 1:
First-principles (PBE) data for PuZrN after structural relaxation, as listed in Alexandria.

Properties
Distance to the lowest polymorph of the same formula in eV/atom: 0.3889
Formation energy without anion corrections in eV/atom: -0.612

Lattice parameters (Å, degrees): 6.5934 6.5934 6.5934 152.53 152.53 39.24
Last column: nearest neighbours and their distance in Å.
Fractional coordinates of all 3 atoms:
Pu  0.0000  0.0000  0.0000  1 N 2.56
Zr  0.2864  0.2864  0.0000  4 N 2.22
N  0.7939  0.7939  0.0000  4 Zr 2.22

=====

Entry 2:
First-principles (PBE) data for LiZnIn2 after structural relaxation, as listed in Alexandria.

Properties
Formation energy from the elements in kJ/mol of formula units: -35.2

Lattice parameters (Å, degrees): 5.2374 5.2374 5.2374 130.13 130.13 73.20
Last column: nearest neighbours and their distance in Å.
Fractional coordinates of all 4 atoms:
Li  0.0000  0.0000  0.0000  8 In 3.05, 4 Zn 3.12
Zn  0.5000  0.5000  0.0000  8 In 3.05, 4 Li 3.12
In  0.2500  0.7500  0.5000  4 Li 3.05, 4 Zn 3.05, 4 In 3.12
In  0.7500  0.2500  0.5000  4 Li 3.05, 4 Zn 3.05, 4 In 3.12

=====

Entry 3:
First-principles (PBE) data for Tb2Er8Hg after structural relaxation, as listed in Alexandria.

Properties
Formation energy from the elements in kJ/mol of formula units: -51.5

Lattice parameters (Å, degrees): 9.9807 9.9807 6.3238 95.29 95.29 31.95
Last column: nearest neighbours and their distance in Å.
Fractional coordinates of all 11 atoms:
Tb  0.2438  0.2438  0.3311  9 Er 3.39-3.75, 2 Tb 3.47
Tb  0.7562  0.7562  0.6689  9 Er 3.39-3.75, 2 Tb 3.47
Er  0.0441  0.0441  0.2666  2 Hg 3.29, 6 Er 3.50-3.68
Er  0.1550  0.1550  0.8009  5 Er 3.31-3.56, 4 Tb 3.51-3.61
Er  0.3413  0.3413  0.8748  1 Hg 3.07, 2 Tb 3.39, 2 Er 3.42
Er  0.4225  0.4225  0.3964  1 Hg 3.04, 3 Er 3.13-3.31
Er  0.5775  0.5775  0.6036  1 Hg 3.04, 3 Er 3.13-3.31
Er  0.6587  0.6587  0.1252  1 Hg 3.07, 2 Tb 3.39, 2 Er 3.42
Er  0.8450  0.8450  0.1991  5 Er 3.31-3.56, 4 Tb 3.51-3.61
Er  0.9559  0.9559  0.7334  2 Hg 3.29, 6 Er 3.50-3.68
Hg  0.5000  0.5000  0.0000  8 Er 3.04-3.29

=====

Entry 4:
First-principles (PBE) data for KZrAs2Br after structural relaxation, as listed in Alexandria.

Properties
Distance to the lowest polymorph of the same formula in eV/atom: 0.0000
Formation energy without anion corrections in eV/atom: -0.631

Lattice parameters (Å, degrees): 5.1890 5.1890 5.7879 90.00 90.00 90.00
Last column: nearest neighbours and their distance in Å.
Fractional coordinates of all 5 atoms:
K  0.0000  0.0000  0.0000  4 Br 3.67, 8 As 3.89
Zr  0.5000  0.5000  0.5000  4 As 2.59, 2 Br 2.89
As  0.0000  0.5000  0.5000  2 Zr 2.59
As  0.5000  0.0000  0.5000  2 Zr 2.59
Br  0.5000  0.5000  0.0000  2 Zr 2.89

=====

Entry 5:
First-principles (PBE) data for Pr3TmGe2 after structural relaxation, as listed in Alexandria.

Properties
Formation energy from the elements in kJ/mol of formula units: -348.2

Lattice parameters (Å, degrees): 8.8772 8.8772 8.8772 150.96 149.92 42.30
Last column: nearest neighbours and their distance in Å.
Fractional coordinates of all 6 atoms:
Pr  0.0000  0.0000  0.0000  4 Ge 3.17, 4 Tm 3.20
Pr  0.1809  0.6809  0.5000  5 Ge 3.10-3.31
Pr  0.8191  0.3191  0.5000  5 Ge 3.10-3.31
Tm  0.5000  0.5000  0.0000  4 Ge 3.12, 4 Pr 3.20
Ge  0.3683  0.8683  0.5000  7 Pr 3.10-3.31, 2 Tm 3.12
Ge  0.6317  0.1317  0.5000  7 Pr 3.10-3.31, 2 Tm 3.12

=====

Entry 6:
First-principles (PBE) data for SiMoPt after structural relaxation, as listed in Alexandria.

Properties
Formation energy without anion corrections in eV/atom: -0.194

Lattice parameters (Å, degrees): 5.9703 5.9703 5.9703 152.95 152.95 38.63
Last column: nearest neighbours and their distance in Å.
Fractional coordinates of all 3 atoms:
Si  0.0000  0.0000  0.0000  4 Pt 2.68, 4 Mo 2.68, 4 Si 2.79
Mo  0.3394  0.3394  0.0000  4 Si 2.68, 4 Mo 2.79, 4 Pt 2.82
Pt  0.6605  0.6605  0.0000  4 Si 2.68, 4 Pt 2.79, 4 Mo 2.82

=====

Values of volume, in order: 60.9 82.0 331.8 155.8 169.8 43.9, all in Å³/cell.
Values of ρ, in order: 9.53 6.12 9.29 3.84 7.21 12.06, all in g cm⁻³.
Values of calculated total energy, in order: -33.04 -9.03 -46.60 -23.77 -31.65 -22.88, all in eV per cell.